No. 1
VASP calculation (PBE) on a relaxed PmYSBr crystal.

a b c (Å): 6.7135 3.8804 7.9706
angles (deg): 90.00 106.20 90.00
Closest atoms and distances in Å follow each position.
Space group Cm (No. 8)
Inequivalent atoms, fractional coordinates:
1 Pm 0.0000 0.0000 0.0000  3 S 2.76
2 Y 0.1988 0.0000 0.5961  3 S 2.68
3 S 0.0965 0.5000 0.7895  3 Y 2.68, 3 Pm 2.76
4 Br 0.2714 0.5000 0.3134  3 Y 3.11, 3 Pm 3.28

For the total energy, the calculation gives -5.776 eV per atom.

No. 2
VASP calculation (PBE) on a relaxed CoSbTe2 crystal.

a b c (Å): 4.2754 4.2754 10.8234
angles (deg): 90.00 90.00 90.00
Closest atoms and distances in Å follow each position.
Space group I-4m2 (No. 119)
Inequivalent atoms, fractional coordinates:
1 Co 0.0000 0.0000 0.0000  4 Te 3.02
2 Sb 0.0000 0.5000 0.7500  4 Te 3.02
3 Te 0.0000 0.0000 0.5000  4 Co 3.02
4 Te 0.0000 0.5000 0.2500  4 Sb 3.02

For the total energy, the calculation gives -3.721 eV per atom.

No. 3
VASP calculation (PBE) on a relaxed La2CuPd4 crystal.

a b c (Å): 5.8109 7.7494 14.5977
angles (deg): 90.00 90.00 90.00
Closest atoms and distances in Å follow each position.
Space group Fmmm (No. 69)
Inequivalent atoms, fractional coordinates:
1 La 0.0000 0.0000 0.1340  7 Pd 2.85-3.11
2 Cu 0.0000 0.0000 0.5000  6 Pd 2.42-2.50
3 Pd 0.0000 0.0000 0.3291  1 Cu 2.50
4 Pd 0.2500 0.2500 0.0000  2 Cu 2.42

For the total energy, the calculation gives -5.352 eV per atom.

No. 4
VASP calculation (PBE) on a relaxed MgMo2Rh2 crystal.

a b c (Å): 7.7154 7.7154 2.7781
angles (deg): 90.00 90.00 90.00
Closest atoms and distances in Å follow each position.
Space group P4/mbm (No. 127)
Inequivalent atoms, fractional coordinates:
1 Mg 0.0000 0.0000 0.0000  2 Mg 2.78, 4 Mo 3.09
2 Mo 0.1164 0.3836 0.0000  3 Mo 2.54-2.78, 6 Rh 2.67-2.68
3 Rh 0.1740 0.6740 0.5000  6 Mo 2.67-2.68, 2 Rh 2.78

For the total energy, the calculation gives -7.624 eV per atom. Its energy above the most stable polymorph in this dataset is 0.0 meV/atom.

No. 5
VASP calculation (PBE) on a relaxed RbTe2O4 crystal.

a b c (Å): 5.8841 5.8154 8.8287
angles (deg): 90.00 99.84 90.00
Closest atoms and distances in Å follow each position.
Space group C2/m (No. 12)
Inequivalent atoms, fractional coordinates:
1 Rb 0.0000 0.0000 0.0000  8 O 2.91-3.02
2 Te 0.0428 0.5000 0.3205  2 O 1.90
3 O 0.1615 0.2573 0.7562  1 Te 1.90

For the total energy, the calculation gives -4.844 eV per atom.

No. 6
VASP calculation (PBE) on a relaxed CuIrRuW crystal.

a b c (Å): 6.1165 6.1165 6.1165
angles (deg): 90.00 90.00 90.00
Closest atoms and distances in Å follow each position.
Space group F-43m (No. 216)
Inequivalent atoms, fractional coordinates:
1 Cu 0.0000 0.0000 0.0000  4 Ru 2.65, 4 Ir 2.65
2 Ir 0.2500 0.2500 0.7500  4 W 2.65, 4 Cu 2.65
3 Ru 0.2500 0.2500 0.2500  4 W 2.65, 4 Cu 2.65
4 W 0.0000 0.0000 0.5000  4 Ru 2.65, 4 Ir 2.65

For the total energy, the calculation gives -8.807 eV per atom.

No. 7
VASP calculation (PBE) on a relaxed Sc2FePb crystal.

a b c (Å): 3.4302 3.4302 7.1580
angles (deg): 90.00 90.00 90.00
Closest atoms and distances in Å follow each position.
Space group P4mm (No. 99)
Inequivalent atoms, fractional coordinates:
1 Sc 0.0000 0.0000 0.0000  4 Pb 3.17, 8 Sc 3.21-3.43, 1 Fe 3.53
2 Sc 0.5000 0.5000 0.2933  4 Fe 2.82, 1 Pb 3.02
3 Fe 0.0000 0.0000 0.4931  4 Sc 2.82, 4 Pb 2.90
4 Pb 0.5000 0.5000 0.7154  4 Fe 2.90, 5 Sc 3.02-3.17

For the total energy, the calculation gives -6.143 eV per atom.

No. 8
VASP calculation (PBE) on a relaxed KPu2SnCl8 crystal.

a b c (Å): 6.6555 8.6864 6.8590
angles (deg): 90.00 91.25 90.00
Closest atoms and distances in Å follow each position.
Space group P2/m (No. 10)
Inequivalent atoms, fractional coordinates:
1 K 0.0000 0.0000 0.0000  6 Cl 3.08-3.13
2 Pu 0.5000 0.2512 0.5000  6 Cl 2.77-2.85
3 Sn 0.0000 0.5000 0.0000  6 Cl 2.84-3.01
4 Cl 0.2434 0.2691 0.1773  1 Pu 2.77, 1 Sn 2.84, 1 K 3.08
5 Cl 0.2779 0.5000 0.6597  2 Pu 2.85, 1 Sn 3.01
6 Cl 0.2850 0.0000 0.6423  2 Pu 2.80

For the total energy, the calculation gives -5.729 eV per atom.

No. 9
VASP calculation (PBE) on a relaxed BaCrTe2N crystal.

a b c (Å): 6.5394 6.5394 4.6887
angles (deg): 90.00 90.00 90.00
Closest atoms and distances in Å follow each position.
Space group P4/mmm (No. 123)
Inequivalent atoms, fractional coordinates:
1 Ba 0.0000 0.0000 0.0000  2 N 2.34
2 Cr 0.5000 0.5000 0.5000  8 Te 4.02
3 Te 0.0000 0.5000 0.0000  2 Ba 3.27
4 N 0.0000 0.0000 0.5000  2 Ba 2.34

For the total energy, the calculation gives -4.037 eV per atom. Its energy above the most stable polymorph in this dataset is 1657.2 meV/atom.

No. 10
VASP calculation (PBE) on a relaxed MnNb2Re crystal.

a b c (Å): 18.0204 4.4764 3.1426
angles (deg): 90.00 99.95 90.00
Closest atoms and distances in Å follow each position.
Space group C2/m (No. 12)
Inequivalent atoms, fractional coordinates:
1 Mn 0.1885 0.0000 0.4384  8 Nb 2.64-2.74
2 Nb 0.0681 0.0000 0.8180  2 Mn 2.65, 4 Re 2.74, 2 Nb 2.88
3 Nb 0.1922 0.5000 0.9425  6 Mn 2.64-2.74, 2 Re 2.78
4 Re 0.0630 0.5000 0.3125  2 Re 2.73, 6 Nb 2.74-2.78

For the total energy, the calculation gives -10.562 eV per atom.

No. 11
VASP calculation (PBE) on a relaxed NaLiMnS2 crystal.

a b c (Å): 4.0603 4.0603 6.8053
angles (deg): 90.00 90.00 120.00
Closest atoms and distances in Å follow each position.
Space group P3m1 (No. 156)
Inequivalent atoms, fractional coordinates:
1 Na 0.0000 0.0000 0.0000  6 S 2.88-3.06
2 Li 0.3333 0.6667 0.6701  4 S 2.41-2.59
3 Mn 0.6667 0.3333 0.4061  4 S 2.36-2.48
4 S 0.3333 0.6667 0.2891  3 Mn 2.48, 1 Li 2.59
5 S 0.6667 0.3333 0.7534  1 Mn 2.36, 3 Li 2.41

For the total energy, the calculation gives -5.116 eV per atom.

No. 12
VASP calculation (PBE) on a relaxed NaRe2As crystal.

a b c (Å): 4.0032 4.0032 18.9227
angles (deg): 90.00 90.00 90.00
Closest atoms and distances in Å follow each position.
Space group I-42d (No. 122)
Inequivalent atoms, fractional coordinates:
1 Na 0.0000 0.0000 0.0000  4 As 2.83, 4 Re 2.90
2 Re 0.1642 0.2500 0.6250  2 Re 2.39, 2 As 2.65
3 As 0.0000 0.0000 0.5000  4 Re 2.65, 4 Na 2.83

For the total energy, the calculation gives -6.867 eV per atom.

No. 13
VASP calculation (PBE) on a relaxed Pu2Al3Zn crystal.

a b c (Å): 5.5533 5.5533 13.1697
angles (deg): 90.00 90.00 120.00
Closest atoms and distances in Å follow each position.
Space group R-3m (No. 166, hexagonal axes)
Inequivalent atoms, fractional coordinates:
1 Pu 0.0000 0.0000 0.1193  4 Pu 3.14-3.44, 9 Al 3.19-3.24, 3 Zn 3.27
2 Al 0.0000 0.5000 0.0000  2 Zn 2.72, 4 Al 2.78
3 Zn 0.0000 0.0000 0.5000  6 Al 2.72

For the total energy, the calculation gives -7.169 eV per atom.

No. 14
VASP calculation (PBE) on a relaxed MgSiP2Cl crystal.

a b c (Å): 4.8952 4.8952 4.6809
angles (deg): 90.00 90.00 90.00
Closest atoms and distances in Å follow each position.
Space group P4/mmm (No. 123)
Inequivalent atoms, fractional coordinates:
1 Mg 0.0000 0.0000 0.0000  2 Cl 2.34, 4 P 2.45
2 Si 0.5000 0.5000 0.5000  8 P 3.39, 4 Cl 3.46
3 P 0.0000 0.5000 0.0000  2 Mg 2.45
4 Cl 0.0000 0.0000 0.5000  2 Mg 2.34

For the total energy, the calculation gives -3.233 eV per atom. Its energy above the most stable polymorph in this dataset is 484.4 meV/atom.

No. 15
VASP calculation (PBE) on a relaxed MgHgSb2 crystal.

a b c (Å): 4.6723 4.6723 9.3559
angles (deg): 90.00 90.00 90.00
Closest atoms and distances in Å follow each position.
Space group I-4m2 (No. 119)
Inequivalent atoms, fractional coordinates:
1 Mg 0.0000 0.0000 0.0000  8 Sb 3.30-3.31, 4 Hg 3.31
2 Hg 0.0000 0.5000 0.2500  8 Sb 3.30-3.31, 4 Mg 3.31
3 Sb 0.0000 0.0000 0.5000  4 Mg 3.30, 4 Hg 3.31, 4 Sb 3.31
4 Sb 0.0000 0.5000 0.7500  4 Hg 3.30, 4 Sb 3.31, 4 Mg 3.31

For the total energy, the calculation gives -2.476 eV per atom. Its energy above the most stable polymorph in this dataset is 101.9 meV/atom.

No. 16
VASP calculation (PBE) on a relaxed NaSmEr2Hg4 crystal.

a b c (Å): 5.2059 5.2059 25.9792
angles (deg): 90.00 90.00 120.00
Closest atoms and distances in Å follow each position.
Space group R-3m (No. 166, hexagonal axes)
Inequivalent atoms, fractional coordinates:
1 Na 0.0000 0.0000 0.0000  8 Hg 3.18-3.19
2 Sm 0.0000 0.0000 0.5000  8 Hg 3.22-3.25
3 Er 0.0000 0.0000 0.2543  8 Hg 3.13-3.43
4 Hg 0.0000 0.0000 0.1223  1 Na 3.18, 4 Er 3.21-3.43, 3 Sm 3.22
5 Hg 0.0000 0.0000 0.3749  4 Er 3.13-3.16, 3 Na 3.19, 1 Sm 3.25

For the total energy, the calculation gives -2.447 eV per atom.

No. 17
VASP calculation (PBE) on a relaxed Cr2TeCl crystal.

a b c (Å): 3.4622 3.4622 6.8707
angles (deg): 90.00 90.00 90.00
Closest atoms and distances in Å follow each position.
Space group P4mm (No. 99)
Inequivalent atoms, fractional coordinates:
1 Cr 0.0000 0.0000 0.0000  4 Cl 2.60, 1 Te 2.74
2 Cr 0.5000 0.5000 0.2298  1 Cl 2.44, 4 Te 2.71
3 Te 0.0000 0.0000 0.3982  5 Cr 2.71-2.74
4 Cl 0.5000 0.5000 0.8746  5 Cr 2.44-2.60

For the total energy, the calculation gives -5.973 eV per atom. Its energy above the most stable polymorph in this dataset is 140.9 meV/atom.

No. 18
VASP calculation (PBE) on a relaxed CeEr4Th crystal.

a b c (Å): 16.9704 3.5448 6.1221
angles (deg): 90.00 96.90 90.00
Closest atoms and distances in Å follow each position.
Space group C2/m (No. 12)
Inequivalent atoms, fractional coordinates:
1 Ce 0.0000 0.0000 0.0000  6 Er 3.45-3.46, 4 Th 3.54, 2 Ce 3.54
2 Er 0.1649 0.0000 0.3887  1 Ce 3.45, 2 Th 3.45, 9 Er 3.51-3.54
3 Er 0.1654 0.5000 0.8885  1 Th 3.45, 2 Ce 3.46, 9 Er 3.51-3.54
4 Th 0.0000 0.5000 0.5000  6 Er 3.45, 4 Ce 3.54, 2 Th 3.54

For the total energy, the calculation gives -5.264 eV per atom.

No. 19
VASP calculation (PBE) on a relaxed GdErGaPb crystal.

a b c (Å): 7.4630 7.4630 7.4630
angles (deg): 90.00 90.00 90.00
Closest atoms and distances in Å follow each position.
Space group F-43m (No. 216)
Inequivalent atoms, fractional coordinates:
1 Gd 0.0000 0.0000 0.0000  4 Pb 3.23, 4 Ga 3.23
2 Er 0.0000 0.0000 0.5000  4 Ga 3.23, 4 Pb 3.23
3 Ga 0.2500 0.2500 0.2500  4 Gd 3.23, 4 Er 3.23
4 Pb 0.2500 0.2500 0.7500  4 Er 3.23, 4 Gd 3.23

For the total energy, the calculation gives -6.782 eV per atom.

No. 20
VASP calculation (PBE) on a relaxed ReTeOs3 crystal.

a b c (Å): 4.7493 4.7493 4.7493
angles (deg): 90.00 90.00 90.00
Closest atoms and distances in Å follow each position.
Space group Pm-3m (No. 221)
Inequivalent atoms, fractional coordinates:
1 Re 0.0000 0.0000 0.0000  6 Os 2.37
2 Te 0.5000 0.5000 0.5000  12 Os 3.36
3 Os 0.0000 0.0000 0.5000  2 Re 2.37

For the total energy, the calculation gives -7.685 eV per atom. Its energy above the most stable polymorph in this dataset is 0.0 meV/atom.